The following is a PBE calculation of a relaxed Na2Al4PdPt crystal, from OQMD via LeMat-Bulk.

## Properties
As for the electronic total energy: -32.46 eV per formula unit.

a = 7.1735 Å, b = 4.2039 Å, c = 9.9932 Å
α = 90.00°, β = 90.00°, γ = 90.00°
Last column: nearest neighbours and their distance in Å.
Space group Amm2 (No. 38)
Asymmetric unit:
Na1 0.0000 0.0000 0.0000 (multiplicity 2)  3 Pd 2.78-3.05
Na2 0.5000 0.0000 0.1273 (multiplicity 2)  3 Pt 2.80-3.04
Al1 0.1961 0.0000 0.7173 (multiplicity 4)  1 Pt 2.54, 2 Pd 2.60, 1 Al 2.81
Al2 0.3061 0.0000 0.4083 (multiplicity 4)  1 Pd 2.55, 2 Pt 2.59, 1 Al 2.78
Pd1 0.0000 0.0000 0.2783 (multiplicity 2)  6 Al 2.55-2.60, 1 Na 2.78
Pt1 0.5000 0.0000 0.8475 (multiplicity 2)  6 Al 2.54-2.59, 1 Na 2.80


The following is a PBE calculation of a relaxed PmZr crystal, from OQMD via LeMat-Bulk.

## Properties
The calculation puts the polymorph energy (0 for the lowest one) at 0.035 eV per atom.

a = 5.4344 Å, b = 17.6201 Å, c = 5.9181 Å
α = 90.00°, β = 90.00°, γ = 90.00°
Last column: nearest neighbours and their distance in Å.
Space group Amm2 (No. 38)
Asymmetric unit:
Pm1 0.0000 0.0000 0.0000 (multiplicity 2)  10 Zr 3.29-3.39, 2 Pm 3.42
Pm2 0.0000 0.1937 0.0473 (multiplicity 4)  4 Zr 3.31-3.69, 7 Pm 3.42-3.56
Pm3 0.5000 0.1871 0.6782 (multiplicity 4)  5 Zr 3.25-3.61, 4 Pm 3.49-3.52
Zr1 0.0000 0.0881 0.5096 (multiplicity 4)  5 Zr 3.10-3.28, 5 Pm 3.29-3.39
Zr2 0.5000 0.0000 0.6762 (multiplicity 2)  6 Zr 3.16-3.28, 4 Pm 3.30-3.32
Zr3 0.5000 0.0892 0.2135 (multiplicity 4)  4 Zr 3.14-3.23, 5 Pm 3.25-3.43